Na3AuF6 after structural relaxation, computed with PBE-GGA.

Unit cell a=7.2179 b=7.2179 c=6.1151 alpha=90.00 beta=90.00 gamma=109.91
Last column: nearest neighbours and their distance in Å.
Fractional positions:
Na 0.1190 0.3641 0.4734  5 F 2.22-2.39
Na 0.1528 0.8472 0.5000  5 F 2.26-2.49
Na 0.3641 0.1190 0.9734  5 F 2.22-2.39
Na 0.6359 0.8810 0.4734  5 F 2.22-2.39
Na 0.8472 0.1528 0.0000  5 F 2.26-2.49
Na 0.8810 0.6359 0.9734  5 F 2.22-2.39
Au 0.3688 0.6312 0.0945  2 F 1.97
Au 0.6312 0.3688 0.5945  2 F 1.97
F 0.0679 0.6028 0.2497  3 Na 2.22-2.33, 1 Au 2.31
F 0.1736 0.2871 0.1036  3 Na 2.26-2.39, 1 Au 2.40
F 0.2843 0.7157 0.8177  1 Au 1.97
F 0.2871 0.1736 0.6036  3 Na 2.26-2.39, 1 Au 2.40
F 0.3972 0.9321 0.2497  3 Na 2.22-2.33, 1 Au 2.31
F 0.4429 0.5571 0.3824  1 Au 1.97
F 0.5571 0.4429 0.8824  1 Au 1.97
F 0.6028 0.0679 0.7497  3 Na 2.22-2.33, 1 Au 2.31
F 0.7129 0.8264 0.1036  3 Na 2.26-2.39, 1 Au 2.40
F 0.7157 0.2843 0.3177  1 Au 1.97
F 0.8264 0.7129 0.6036  3 Na 2.26-2.39, 1 Au 2.40
F 0.9321 0.3972 0.7497  3 Na 2.22-2.33, 1 Au 2.31

Values from the calculation:
density: 4.21 g/cm³
energy relative to the elements, uncorrected: -1935 meV/atom
raw total energy: -3.781 eV per atom

Na3AuF6 after structural relaxation, computed with PBE-GGA.

Unit cell a=6.0921 b=6.0921 c=6.0921 alpha=60.00 beta=60.00 gamma=60.00
Last column: nearest neighbours and their distance in Å.
Fractional positions:
Na 0.0000 0.0000 0.0000  6 F 2.18
Na 0.2500 0.2500 0.2500  12 F 3.05
Na 0.7500 0.7500 0.7500  12 F 3.05
Au 0.5000 0.5000 0.5000  6 F 2.12
F 0.2534 0.2534 0.7466  1 Au 2.12, 1 Na 2.18
F 0.2534 0.7466 0.2534  1 Au 2.12, 1 Na 2.18
F 0.2534 0.7466 0.7466  1 Au 2.12, 1 Na 2.18
F 0.7466 0.2534 0.2534  1 Au 2.12, 1 Na 2.18
F 0.7466 0.2534 0.7466  1 Au 2.12, 1 Na 2.18
F 0.7466 0.7466 0.2534  1 Au 2.12, 1 Na 2.18

Values from the calculation:
density: 3.95 g/cm³
energy relative to the elements, uncorrected: -1910 meV/atom
raw total energy: -3.756 eV per atom

NaAuF3 after structural relaxation, computed with PBE-GGA.

Unit cell a=4.4448 b=4.4448 c=4.4448 alpha=90.00 beta=90.00 gamma=90.00
Last column: nearest neighbours and their distance in Å.
Fractional positions:
Na 0.0000 0.0000 0.0000  12 F 3.14
Au 0.5000 0.5000 0.5000  6 F 2.22
F 0.0000 0.5000 0.5000  2 Au 2.22
F 0.5000 0.0000 0.5000  2 Au 2.22
F 0.5000 0.5000 0.0000  2 Au 2.22

Values from the calculation:
density: 5.24 g/cm³
energy relative to the elements, uncorrected: -1459 meV/atom
raw total energy: -3.501 eV per atom

Na2AuF8 after structural relaxation, computed with PBE-GGA.

Unit cell a=6.2321 b=6.2321 c=4.7842 alpha=107.37 beta=107.37 gamma=74.16
Last column: nearest neighbours and their distance in Å.
Fractional positions:
Na 0.1615 0.1615 0.3305  5 F 2.27-2.44
Na 0.8385 0.8385 0.6695  5 F 2.27-2.44
Au 0.5000 0.5000 0.0000  6 F 1.94-1.95
F 0.0744 0.0744 0.7146  1 F 2.03, 1 Na 2.27
F 0.1917 0.5497 0.7409  1 Au 1.95
F 0.3760 0.3760 0.2316  1 Au 1.94
F 0.4503 0.8083 0.2591  1 Au 1.95
F 0.5497 0.1917 0.7409  1 Au 1.95
F 0.6240 0.6240 0.7684  1 Au 1.94
F 0.8083 0.4503 0.2591  1 Au 1.95
F 0.9256 0.9256 0.2854  1 F 2.03, 1 Na 2.27

Values from the calculation:
density: 3.96 g/cm³
energy relative to the elements, uncorrected: -1510 meV/atom
raw total energy: -3.409 eV per atom

NaAu2F6 after structural relaxation, computed with PBE-GGA.

Unit cell a=6.3593 b=7.2444 c=7.3846 alpha=93.70 beta=108.17 gamma=104.75
Last column: nearest neighbours and their distance in Å.
Fractional positions:
Na 0.2456 0.0843 0.4156  6 F 2.33-2.41
Na 0.7544 0.9157 0.5844  6 F 2.33-2.41
Au 0.1366 0.5482 0.2388  4 F 1.99-2.11
Au 0.3602 0.2631 0.9528  4 F 1.99-2.11
Au 0.6398 0.7369 0.0472  4 F 1.99-2.11
Au 0.8634 0.4518 0.7612  4 F 1.99-2.11
F 0.0824 0.6766 0.9857  2 Au 2.10-2.11
F 0.1582 0.0750 0.7110  1 Au 2.02
F 0.1662 0.3794 0.4418  1 Au 1.99
F 0.3176 0.0641 0.1222  1 Au 1.99
F 0.3474 0.7881 0.4249  1 Au 2.02
F 0.4308 0.5110 0.8210  2 Au 2.10-2.11
F 0.5692 0.4890 0.1790  2 Au 2.10-2.11
F 0.6526 0.2119 0.5751  1 Au 2.02
F 0.6824 0.9359 0.8778  1 Au 1.99
F 0.8338 0.6206 0.5582  1 Au 1.99
F 0.8418 0.9250 0.2890  1 Au 2.02
F 0.9176 0.3234 0.0143  2 Au 2.10-2.11

Values from the calculation:
density: 5.71 g/cm³
energy relative to the elements, uncorrected: -1330 meV/atom
raw total energy: -3.453 eV per atom

NaAu2F after structural relaxation, computed with PBE-GGA.

Unit cell a=4.6185 b=4.6185 c=4.6185 alpha=60.00 beta=60.00 gamma=60.00
Last column: nearest neighbours and their distance in Å.
Fractional positions:
Na 0.0000 0.0000 0.0000  8 Au 2.83
Au 0.2500 0.2500 0.2500  4 F 2.83, 4 Na 2.83
Au 0.7500 0.7500 0.7500  4 F 2.83, 4 Na 2.83
F 0.5000 0.5000 0.5000  8 Au 2.83

Values from the calculation:
density: 10.39 g/cm³
energy relative to the elements, uncorrected: -246 meV/atom
raw total energy: -2.682 eV per atom

Na5Au2F12 after structural relaxation, computed with PBE-GGA.

Unit cell a=7.2974 b=7.2974 c=7.5309 alpha=114.73 beta=114.73 gamma=55.55
Last column: nearest neighbours and their distance in Å.
Fractional positions:
Na 0.0000 0.0000 0.0000  6 F 2.43-2.60
Na 0.2565 0.2565 0.0372  5 F 2.29-2.41
Na 0.3485 0.3485 0.7336  4 F 2.27-2.46
Na 0.6515 0.6515 0.2664  4 F 2.27-2.46
Na 0.7435 0.7435 0.9628  5 F 2.29-2.41
Au 0.2481 0.7519 0.5000  2 F 1.95
Au 0.7519 0.2481 0.5000  2 F 1.95
F 0.0548 0.0548 0.7095  2 Au 2.19
F 0.0984 0.5977 0.4961  1 Au 1.95
F 0.1068 0.6012 0.9401  4 Na 2.27-2.43
F 0.3988 0.8932 0.0599  4 Na 2.27-2.43
F 0.4023 0.9016 0.5039  1 Au 1.95
F 0.4543 0.4543 0.2956  2 Au 2.19, 1 Na 2.37
F 0.5457 0.5457 0.7044  2 Au 2.19, 1 Na 2.37
F 0.5977 0.0984 0.4961  1 Au 1.95
F 0.6012 0.1068 0.9401  4 Na 2.27-2.43
F 0.8932 0.3988 0.0599  4 Na 2.27-2.43
F 0.9016 0.4023 0.5039  1 Au 1.95
F 0.9452 0.9452 0.2905  2 Au 2.19

Values from the calculation:
density: 4.20 g/cm³
energy relative to the elements, uncorrected: -1808 meV/atom
raw total energy: -3.682 eV per atom

Na2AuF5 after structural relaxation, computed with PBE-GGA.

Unit cell a=3.8602 b=5.6633 c=6.1889 alpha=110.06 beta=100.07 gamma=94.63
Last column: nearest neighbours and their distance in Å.
Fractional positions:
Na 0.0000 0.0000 0.0000  3 F 2.16-2.36
Na 0.2293 0.3464 0.7031  5 F 2.22-2.40
Au 0.6742 0.6899 0.3345  4 F 1.97-1.98
F 0.0359 0.9754 0.3744  1 Au 1.97
F 0.3199 0.3984 0.2901  1 Au 1.97
F 0.4550 0.7318 0.0378  1 Au 1.98
F 0.7358 0.2216 0.8188  3 Na 2.16-2.29
F 0.9003 0.6614 0.6331  1 Au 1.97

Values from the calculation:
density: 4.54 g/cm³
energy relative to the elements, uncorrected: -1920 meV/atom
raw total energy: -3.829 eV per atom

Na2Au2F after structural relaxation, computed with PBE-GGA.

Unit cell a=7.6871 b=7.6871 c=3.7724 alpha=90.00 beta=90.00 gamma=90.00
Last column: nearest neighbours and their distance in Å.
Fractional positions:
Na 0.1781 0.3219 0.0000  6 Au 2.87-3.02
Na 0.3219 0.8219 0.0000  6 Au 2.87-3.02
Na 0.6781 0.1781 0.0000  6 Au 2.87-3.02
Na 0.8219 0.6781 0.0000  6 Au 2.87-3.02
Au 0.1230 0.6230 0.5000  1 Au 2.67, 2 Na 2.87
Au 0.3770 0.1230 0.5000  1 Au 2.67, 2 Na 2.87
Au 0.6230 0.8770 0.5000  1 Au 2.67, 2 Na 2.87
Au 0.8770 0.3770 0.5000  1 Au 2.67, 2 Na 2.87
F 0.0000 0.0000 0.5000  4 Au 3.05, 8 Na 3.40
F 0.5000 0.5000 0.5000  4 Au 3.05, 8 Na 3.40

Values from the calculation:
density: 6.84 g/cm³
energy relative to the elements, uncorrected: -508 meV/atom
raw total energy: -2.721 eV per atom

Na2Au3F6 after structural relaxation, computed with PBE-GGA.

Unit cell a=5.9823 b=5.9823 c=13.9501 alpha=103.60 beta=103.60 gamma=46.27
Last column: nearest neighbours and their distance in Å.
Fractional positions:
Na 0.1493 0.6561 0.0002  6 F 2.26-2.37
Na 0.3439 0.8507 0.4998  6 F 2.26-2.37
Na 0.6561 0.1493 0.5002  6 F 2.26-2.37
Na 0.8507 0.3439 0.9998  6 F 2.26-2.37
Au 0.1514 0.8486 0.7500  2 F 2.00
Au 0.1850 0.4887 0.2549  2 F 2.00
Au 0.4887 0.1850 0.7549  2 F 2.00
Au 0.5113 0.8150 0.2451  2 F 2.00
Au 0.8150 0.5113 0.7451  2 F 2.00
Au 0.8486 0.1514 0.2500  2 F 2.00
F 0.1120 0.8075 0.6015  1 Au 2.00
F 0.1329 0.4360 0.1068  1 Au 2.00
F 0.1925 0.8880 0.8985  1 Au 2.00
F 0.2378 0.5453 0.4033  1 Au 2.00
F 0.4360 0.1329 0.6068  1 Au 2.00
F 0.4547 0.7622 0.0967  1 Au 2.00
F 0.5453 0.2378 0.9033  1 Au 2.00
F 0.5640 0.8671 0.3932  1 Au 2.00
F 0.7622 0.4547 0.5967  1 Au 2.00
F 0.8075 0.1120 0.1015  1 Au 2.00
F 0.8671 0.5640 0.8932  1 Au 2.00
F 0.8880 0.1925 0.3985  1 Au 2.00

Values from the calculation:
density: 7.15 g/cm³
energy relative to the elements, uncorrected: -1529 meV/atom
raw total energy: -3.684 eV per atom